(1)
CaI2F, optimized geometry, DFT PBE-GGA; E_tot = -2.97 eV/atom; total moment = 0.000 Bohr magnetons per cell; energy above the lowest structure with this stoichiometry = 0.0 meV/atom; formation energy without anion corrections = -28.4 kcal/mol of atoms; space group = Fm-3m (225)
1.0
0.0000 3.7724 3.7724
3.7724 0.0000 3.7724
3.7724 3.7724 0.0000
Ca I F
1 2 1
Direct
0.0000 0.0000 0.0000
0.2500 0.2500 0.2500
0.7500 0.7500 0.7500
0.5000 0.5000 0.5000

***

(2)
LaCo3Se, optimized geometry, DFT PBE-GGA; E_tot = -4.46 eV/atom; total moment = 2.538 Bohr magnetons per cell; energy above the lowest structure with this stoichiometry = 1386.1 meV/atom; formation energy without anion corrections = 34.2 kcal/mol of atoms; space group = Pm-3m (221)
1.0
4.6511 0.0000 0.0000
0.0000 4.6511 0.0000
0.0000 0.0000 4.6511
La Co Se
1 3 1
Direct
0.0000 0.0000 0.0000
0.0000 0.0000 0.5000
0.0000 0.5000 0.0000
0.5000 0.0000 0.0000
0.5000 0.5000 0.5000

***

(3)
YMgCu, optimized geometry, DFT PBE-GGA; energy relative to the elements = -0.010 eV per atom; E_tot = -4.06 eV/atom; total moment = 0.000 Bohr magnetons per cell; energy above the lowest structure with this stoichiometry = 209.3 meV/atom; space group = P-62m (189)
1.0
6.8293 0.0000 0.0000
-3.4146 5.9143 0.0000
0.0000 0.0000 4.8218
Y Mg Cu
3 3 3
Direct
0.0000 0.4537 0.0000
0.4537 0.0000 0.0000
0.5463 0.5463 0.0000
0.0000 0.0000 0.0000
0.3333 0.6667 0.5000
0.6667 0.3333 0.5000
0.0000 0.7787 0.5000
0.2213 0.2213 0.5000
0.7787 0.0000 0.5000

***

(4)
AgHPd3, optimized geometry, DFT PBE-GGA; E_tot = -4.40 eV/atom; total moment = 0.000 Bohr magnetons per cell; energy above the lowest structure with this stoichiometry = 25.8 meV/atom; space group = P2_1/c (14)
1.0
7.5940 0.0000 0.0000
0.0000 4.7377 0.0000
-6.5071 0.0000 7.5264
Ag H Pd
4 4 12
Direct
0.1269 0.2498 0.0212
0.1269 0.2502 0.5212
0.8731 0.7498 0.4788
0.8731 0.7502 0.9788
0.3650 0.6256 0.3851
0.3650 0.8744 0.8851
0.6350 0.1256 0.1149
0.6350 0.3744 0.6149
0.1159 0.7443 0.8491
0.1159 0.7557 0.3491
0.3744 0.2400 0.3937
0.3744 0.2600 0.8937
0.3740 0.7451 0.7211
0.3740 0.7549 0.2211
0.6260 0.2451 0.7789
0.6260 0.2549 0.2789
0.6256 0.7400 0.1063
0.6256 0.7600 0.6063
0.8841 0.2443 0.6509
0.8841 0.2557 0.1509

***

(5)
Ca2Cd3Pt2, optimized geometry, DFT PBE-GGA; energy relative to the elements = -0.627 eV per atom; E_tot = -3.32 eV/atom; total moment = 0.000 Bohr magnetons per cell; space group = C2/m (12)
1.0
5.0856 -2.2200 0.0000
5.0856 2.2200 0.0000
-2.5692 0.0000 7.0189
Ca Cd Pt
2 3 2
Direct
0.1455 0.1455 0.2895
0.8545 0.8545 0.7105
0.3698 0.3698 0.0550
0.5000 0.5000 0.5000
0.6302 0.6302 0.9450
0.1469 0.1469 0.7031
0.8531 0.8531 0.2969

***

(6)
B5C7, optimized geometry, DFT PBE-GGA; energy relative to the elements = 0.381 eV per atom; E_tot = -7.78 eV/atom; total moment = 0.000 Bohr magnetons per cell; energy above the lowest structure with this stoichiometry = 123.2 meV/atom; space group = P1 (1)
1.0
4.2487 0.0000 0.0000
-1.4142 4.0461 0.0000
-1.1936 -1.7272 4.4732
B C
5 7
Direct
0.0000 0.0000 0.0000
0.0218 0.3201 0.8358
0.3273 0.0104 0.8329
0.4994 0.8422 0.3240
0.5233 0.4880 0.4999
0.1503 0.1332 0.3582
0.1925 0.8353 0.4749
0.3631 0.7005 0.9692
0.6489 0.6341 0.8615
0.7095 0.3504 0.9887
0.8303 0.5050 0.3363
0.8669 0.2078 0.4682

***

(7)
Pm5TlNi4, optimized geometry, DFT PBE-GGA; energy relative to the elements = -0.268 eV per atom; E_tot = -5.19 eV/atom; total moment = 0.000 Bohr magnetons per cell; space group = P4/mmm (123)
1.0
3.5103 0.0000 0.0000
0.0000 3.5103 0.0000
0.0000 0.0000 18.2904
Pm Tl Ni
5 1 4
Direct
0.0000 0.0000 0.0000
0.0000 0.0000 0.1879
0.0000 0.0000 0.3739
0.0000 0.0000 0.6261
0.0000 0.0000 0.8121
0.5000 0.5000 0.5000
0.5000 0.5000 0.0929
0.5000 0.5000 0.2815
0.5000 0.5000 0.7185
0.5000 0.5000 0.9071

***

(8)
LaPaTe, optimized geometry, DFT PBE-GGA; E_tot = -6.47 eV/atom; total moment = 0.000 Bohr magnetons per cell; formation energy without anion corrections = -14.2 kcal/mol of atoms; space group = C2/m (12)
1.0
8.4864 -2.0529 0.0000
8.4864 2.0529 0.0000
-0.0136 0.0000 4.9541
La Pa Te
2 2 2
Direct
0.0795 0.0795 0.2533
0.9205 0.9205 0.7467
0.2575 0.2575 0.8050
0.7425 0.7425 0.1950
0.3965 0.3965 0.2517
0.6035 0.6035 0.7483

***

(9)
K4U3CuS8, optimized geometry, DFT PBE-GGA; E_tot = -5.95 eV/atom; total moment = 7.000 Bohr magnetons per cell; formation energy without anion corrections = -28.5 kcal/mol of atoms; space group = C2/m (12)
1.0
6.9349 -3.9928 0.0000
6.9349 3.9928 0.0000
-4.6217 0.0000 7.3836
K U Cu S
4 3 1 8
Direct
0.0000 0.0000 0.0000
0.0000 0.5000 0.0000
0.5000 0.0000 0.0000
0.5000 0.5000 0.0000
0.0000 0.0000 0.5000
0.0000 0.5000 0.5000
0.5000 0.0000 0.5000
0.5000 0.5000 0.5000
0.2316 0.7324 0.6971
0.2350 0.2350 0.7055
0.2653 0.2653 0.3012
0.2676 0.7684 0.3029
0.7324 0.2316 0.6971
0.7346 0.7346 0.6988
0.7650 0.7650 0.2945
0.7684 0.2676 0.3029

***

(10)
PmTl2Sb2O6, optimized geometry, DFT PBE-GGA; E_tot = -5.86 eV/atom; total moment = 0.000 Bohr magnetons per cell; formation energy without anion corrections = -35.5 kcal/mol of atoms; space group = C2/m (12)
1.0
5.0970 -3.1689 0.0000
5.0970 3.1689 0.0000
-3.6539 0.0000 7.1471
Pm Tl Sb O
1 2 2 6
Direct
0.0000 0.0000 0.0000
0.2175 0.2175 0.7110
0.7825 0.7825 0.2890
0.4408 0.4408 0.2630
0.5592 0.5592 0.7370
0.2196 0.6763 0.7767
0.2472 0.2472 0.0456
0.3237 0.7804 0.2233
0.6763 0.2196 0.7767
0.7528 0.7528 0.9544
0.7804 0.3237 0.2233

***

(11)
Ac12PuPb6, optimized geometry, DFT PBE-GGA; energy relative to the elements = -0.125 eV per atom; E_tot = -4.65 eV/atom; total moment = 5.236 Bohr magnetons per cell; space group = R-3 (148)
1.0
7.3058 4.2180 4.4721
-7.3058 4.2180 4.4721
0.0000 -8.4360 4.4721
Ac Pu Pb
12 1 6
Direct
0.0162 0.6818 0.9367
0.0633 0.9838 0.3182
0.1896 0.4224 0.5602
0.3182 0.0633 0.9838
0.4224 0.5602 0.1896
0.4398 0.8104 0.5776
0.5602 0.1896 0.4224
0.5776 0.4398 0.8104
0.6818 0.9367 0.0162
0.8104 0.5776 0.4398
0.9367 0.0162 0.6818
0.9838 0.3182 0.0633
0.0000 0.0000 0.0000
0.1239 0.6419 0.3093
0.3093 0.1239 0.6419
0.3581 0.6907 0.8761
0.6419 0.3093 0.1239
0.6907 0.8761 0.3581
0.8761 0.3581 0.6907

***

(12)
K2InP2, optimized geometry, DFT PBE-GGA; energy relative to the elements = -0.223 eV per atom; E_tot = -3.37 eV/atom; total moment = 0.000 Bohr magnetons per cell; space group = P4/mbm (127)
1.0
7.3079 0.0000 0.0000
0.0000 7.3079 0.0000
0.0000 0.0000 5.2364
K In P
4 2 4
Direct
0.1801 0.3199 0.0000
0.3199 0.8199 0.0000
0.6801 0.1801 0.0000
0.8199 0.6801 0.0000
0.0000 0.0000 0.5000
0.5000 0.5000 0.5000
0.1051 0.6051 0.5000
0.3949 0.1051 0.5000
0.6051 0.8949 0.5000
0.8949 0.3949 0.5000

***

(13)
SiPRh2, optimized geometry, DFT PBE-GGA; E_tot = -6.67 eV/atom; total moment = 0.000 Bohr magnetons per cell; formation energy without anion corrections = -6.7 kcal/mol of atoms; space group = I-4m2 (119)
1.0
-1.7450 1.7450 4.4794
1.7450 -1.7450 4.4794
1.7450 1.7450 -4.4794
Si P Rh
1 1 2
Direct
0.0000 0.0000 0.0000
0.2500 0.7500 0.5000
0.5000 0.5000 0.0000
0.7500 0.2500 0.5000

***

(14)
TaNiGePtAu, optimized geometry, DFT PBE-GGA; energy relative to the elements = -0.150 eV per atom; E_tot = -6.46 eV/atom; total moment = 0.000 Bohr magnetons per cell; energy above the lowest structure with this stoichiometry = 81.7 meV/atom; space group = Imm2 (44)
1.0
-1.4324 2.1122 6.6046
1.4324 -2.1122 6.6046
1.4324 2.1122 -6.6046
Ta Ni Ge Pt Au
1 1 1 1 1
Direct
0.0000 0.0000 0.0000
0.4283 0.4283 0.0000
0.2567 0.7567 0.5000
0.8183 0.3183 0.5000
0.6200 0.6200 0.0000

***

(15)
AcHgCl3, optimized geometry, DFT PBE-GGA; E_tot = -3.85 eV/atom; total moment = 0.000 Bohr magnetons per cell; formation energy without anion corrections = -42.9 kcal/mol of atoms; space group = Pm-3m (221)
1.0
5.7888 0.0000 0.0000
0.0000 5.7888 0.0000
0.0000 0.0000 5.7888
Ac Hg Cl
1 1 3
Direct
0.0000 0.0000 0.0000
0.5000 0.5000 0.5000
0.0000 0.0000 0.5000
0.0000 0.5000 0.0000
0.5000 0.0000 0.0000

***

(16)
Zr2TiCrPt, optimized geometry, DFT PBE-GGA; energy relative to the elements = 0.796 eV per atom; E_tot = -7.34 eV/atom; total moment = 0.000 Bohr magnetons per cell; space group = P4/mmm (123)
1.0
4.9523 0.0000 0.0000
0.0000 4.9523 0.0000
0.0000 0.0000 4.0678
Zr Ti Cr Pt
2 1 1 1
Direct
0.0000 0.5000 0.0000
0.5000 0.0000 0.0000
0.0000 0.0000 0.0000
0.0000 0.0000 0.5000
0.5000 0.5000 0.5000

***

(17)
SrReAg2, optimized geometry, DFT PBE-GGA; energy relative to the elements = 0.751 eV per atom; E_tot = -4.21 eV/atom; total moment = 0.485 Bohr magnetons per cell; energy above the lowest structure with this stoichiometry = 79.0 meV/atom; space group = P4/mmm (123)
1.0
5.1497 0.0000 0.0000
0.0000 5.1497 0.0000
0.0000 0.0000 3.0304
Sr Re Ag
1 1 2
Direct
0.0000 0.0000 0.0000
0.5000 0.5000 0.0000
0.0000 0.5000 0.5000
0.5000 0.0000 0.5000

***

(18)
Sc2ZnAu, optimized geometry, DFT PBE-GGA; energy relative to the elements = -0.461 eV per atom; E_tot = -4.76 eV/atom; total moment = 0.005 Bohr magnetons per cell; space group = Cm (8)
1.0
5.2198 -1.6435 0.0000
5.2198 1.6435 0.0000
-1.4893 0.0000 4.5652
Sc Zn Au
2 1 1
Direct
0.0000 0.0000 0.0000
0.2216 0.2216 0.6612
0.7554 0.7554 0.1755
0.4711 0.4711 0.4779

***

(19)
Ba2ReTc, optimized geometry, DFT PBE-GGA; energy relative to the elements = 1.638 eV per atom; E_tot = -5.03 eV/atom; total moment = 5.178 Bohr magnetons per cell; energy above the lowest structure with this stoichiometry = 1262.0 meV/atom; space group = P4/mmm (123)
1.0
5.7730 0.0000 0.0000
0.0000 5.7730 0.0000
0.0000 0.0000 3.4770
Ba Re Tc
2 1 1
Direct
0.0000 0.5000 0.0000
0.5000 0.0000 0.0000
0.0000 0.0000 0.5000
0.5000 0.5000 0.5000

***

(20)
Ca4RhCl, optimized geometry, DFT PBE-GGA; E_tot = -2.51 eV/atom; total moment = 0.000 Bohr magnetons per cell; formation energy without anion corrections = 8.3 kcal/mol of atoms; space group = F-43m (216)
1.0
0.0000 4.5961 4.5961
4.5961 0.0000 4.5961
4.5961 4.5961 0.0000
Ca Rh Cl
4 1 1
Direct
0.3764 0.3764 0.3764
0.3764 0.3764 0.8707
0.3764 0.8707 0.3764
0.8707 0.3764 0.3764
0.7500 0.7500 0.7500
0.0000 0.0000 0.0000

***

(21)
Na3U3ZnN8, optimized geometry, DFT PBE-GGA; E_tot = -7.73 eV/atom; total moment = 0.854 Bohr magnetons per cell; formation energy without anion corrections = -15.7 kcal/mol of atoms; space group = C2/m (12)
1.0
6.0941 -3.3317 0.0000
6.0941 3.3317 0.0000
-3.8069 0.0000 5.6541
Na U Zn N
3 3 1 8
Direct
0.0000 0.0000 0.0000
0.0000 0.5000 0.5000
0.5000 0.0000 0.5000
0.0000 0.5000 0.0000
0.5000 0.0000 0.0000
0.5000 0.5000 0.5000
0.0000 0.0000 0.5000
0.2265 0.7165 0.2716
0.2553 0.2553 0.8181
0.2714 0.2714 0.2317
0.2835 0.7735 0.7284
0.7165 0.2265 0.2716
0.7286 0.7286 0.7683
0.7447 0.7447 0.1819
0.7735 0.2835 0.7284

***

(22)
Tb2Ho3Ga4, optimized geometry, DFT PBE-GGA; energy relative to the elements = -0.577 eV per atom; E_tot = -4.48 eV/atom; total moment = 0.000 Bohr magnetons per cell; energy above the lowest structure with this stoichiometry = 0.0 meV/atom; space group = P2_1/c (14)
1.0
7.9262 0.0000 0.0000
0.0000 7.9672 0.0000
-2.0729 0.0000 7.0686
Tb Ho Ga
4 6 8
Direct
0.1885 0.1856 0.0723
0.1885 0.3144 0.5723
0.8115 0.6856 0.4277
0.8115 0.8144 0.9277
0.2380 0.6741 0.2519
0.2380 0.8259 0.7519
0.5000 0.0000 0.5000
0.5000 0.5000 0.0000
0.7620 0.1741 0.2481
0.7620 0.3259 0.7481
0.0816 0.5289 0.8628
0.0816 0.9711 0.3628
0.4879 0.1251 0.8795
0.4879 0.3749 0.3795
0.5121 0.6251 0.6205
0.5121 0.8749 0.1205
0.9184 0.0289 0.6372
0.9184 0.4711 0.1372

***

(23)
SmZn4Cd, optimized geometry, DFT PBE-GGA; energy relative to the elements = -0.190 eV per atom; E_tot = -1.98 eV/atom; total moment = 0.000 Bohr magnetons per cell; space group = Cmcm (63)
1.0
2.1257 -8.4252 0.0000
2.1257 8.4252 0.0000
0.0000 0.0000 6.5409
Sm Zn Cd
2 8 2
Direct
0.1099 0.8901 0.7500
0.8901 0.1099 0.2500
0.0700 0.9300 0.2500
0.3453 0.6547 0.5568
0.3453 0.6547 0.9432
0.5000 0.5000 0.0000
0.5000 0.5000 0.5000
0.6547 0.3453 0.0568
0.6547 0.3453 0.4432
0.9300 0.0700 0.7500
0.2351 0.7649 0.2500
0.7649 0.2351 0.7500